(1)
A relaxed NaBe2PbS crystal, computed with GGA-PBEsol.

Lattice parameters (Å, degrees): 4.285 4.285 5.711 90.00 90.00 90.00
Space group P4/mmm (No. 123)
One atom of each set of equivalent atoms:
1 Na 0.000 0.000 0.000 [1 per cell]
2 Be 0.000 0.500 0.500 [2 per cell]
3 Pb 0.500 0.500 0.000 [1 per cell]
4 S 0.500 0.500 0.500 [1 per cell]

Computed properties:
As for the crystal system: tetragonal. As for the uncorrected energy: -0.22373 Ry per atom. The size of the total moment comes out at 0.0 μB/f.u. The calculated volume is 104.85 Å³/cell.

=====

(2)
A relaxed NaBe3Pt crystal, computed with GGA-PBEsol.

Lattice parameters (Å, degrees): 4.018 4.018 4.018 90.00 90.00 90.00
Space group Pm-3m (No. 221)
One atom of each set of equivalent atoms:
1 Na 0.000 0.000 0.000 [1 per cell]
2 Be 0.000 0.000 0.500 [3 per cell]
3 Pt 0.500 0.500 0.500 [1 per cell]

Computed properties:
As for the crystal system: cubic. The energy above the most stable polymorph in this dataset comes out at 1607 meV/atom. As for the uncorrected energy: -0.17781 Ry per atom. The size of the total moment comes out at 0.0 μB/f.u. The calculated volume is 64.88 Å³/cell.

=====

(3)
A relaxed Na3BePt crystal, computed with GGA-PBEsol.

Lattice parameters (Å, degrees): 5.352 5.352 5.352 90.00 90.00 90.00
Space group Pm-3m (No. 221)
One atom of each set of equivalent atoms:
1 Na 0.000 0.000 0.500 [3 per cell]
2 Be 0.500 0.500 0.500 [1 per cell]
3 Pt 0.000 0.000 0.000 [1 per cell]

Computed properties:
As for the crystal system: cubic. As for the uncorrected energy: -0.16583 Ry per atom. The size of the total moment comes out at 0.0 μB/f.u. The calculated volume is 153.29 Å³/cell.

=====

(4)
A relaxed NaBe2Pt2 crystal, computed with GGA-PBEsol.

Lattice parameters (Å, degrees): 6.848 6.848 2.722 90.00 90.00 90.00
Space group P4/mbm (No. 127)
One atom of each set of equivalent atoms:
1 Na 0.000 0.000 0.000 [2 per cell]
2 Be 0.129 0.371 0.000 [4 per cell]
3 Pt 0.158 0.658 0.500 [4 per cell]

Computed properties:
As for the crystal system: tetragonal. As for the uncorrected energy: -0.37998 Ry per atom. The size of the total moment comes out at 0.0 μB/f.u. The calculated volume is 127.68 Å³/cell.

=====

(5)
A relaxed NaBe3Pt crystal, computed with GGA-PBEsol.

Lattice parameters (Å, degrees): 4.319 4.319 4.319 90.00 90.00 90.00
Space group Pm-3m (No. 221)
One atom of each set of equivalent atoms:
1 Na 0.000 0.000 0.000 [1 per cell]
2 Be 0.000 0.500 0.500 [3 per cell]
3 Pt 0.500 0.500 0.500 [1 per cell]

Computed properties:
As for the crystal system: cubic. The energy above the most stable polymorph in this dataset comes out at 0 meV/atom. As for the uncorrected energy: -0.29594 Ry per atom. The size of the total moment comes out at 0.0 μB/f.u. The calculated volume is 80.59 Å³/cell.

=====

(6)
A relaxed NaBe2Pt crystal, computed with GGA-PBEsol.

Lattice parameters (Å, degrees): 4.436 4.436 14.908 90.00 90.00 90.00
Space group I4_1/amd (No. 141, origin choice 2)
One atom of each set of equivalent atoms:
1 Na 0.000 0.250 0.375 [4 per cell]
2 Be 0.000 0.000 0.000 [8 per cell]
3 Pt 0.000 0.250 0.875 [4 per cell]

Computed properties:
As for the crystal system: tetragonal. As for the uncorrected energy: -0.29141 Ry per atom. The size of the total moment comes out at 0.0 μB/f.u. The calculated volume is 293.35 Å³/cell.

=====

(7)
A relaxed RbNaBe3 crystal, computed with GGA-PBEsol.

Lattice parameters (Å, degrees): 5.733 5.733 5.733 90.00 90.00 90.00
Space group Pm-3m (No. 221)
One atom of each set of equivalent atoms:
1 Rb 0.000 0.000 0.000 [1 per cell]
2 Na 0.500 0.500 0.500 [1 per cell]
3 Be 0.000 0.000 0.500 [3 per cell]

Computed properties:
As for the crystal system: cubic. As for the uncorrected energy: -0.06006 Ry per atom. The size of the total moment comes out at 0.0 μB/f.u. The calculated volume is 188.45 Å³/cell.

=====

(8)
A relaxed RbNa2BeW crystal, computed with GGA-PBEsol.

Lattice parameters (Å, degrees): 5.957 5.957 6.679 90.00 90.00 90.00
Space group P4/mmm (No. 123)
One atom of each set of equivalent atoms:
1 Rb 0.000 0.000 0.000 [1 per cell]
2 Na 0.000 0.500 0.500 [2 per cell]
3 Be 0.500 0.500 0.000 [1 per cell]
4 W 0.000 0.000 0.500 [1 per cell]

Computed properties:
As for the crystal system: tetragonal. As for the uncorrected energy: -0.16226 Ry per atom. The size of the total moment comes out at 5.7 μB/f.u. The calculated volume is 237.04 Å³/cell.

=====

(9)
A relaxed NaTiBe2Re crystal, computed with GGA-PBEsol.

Lattice parameters (Å, degrees): 4.520 4.520 4.563 90.00 90.00 90.00
Space group P4/mmm (No. 123)
One atom of each set of equivalent atoms:
1 Na 0.000 0.000 0.000 [1 per cell]
2 Ti 0.500 0.500 0.000 [1 per cell]
3 Be 0.000 0.500 0.500 [2 per cell]
4 Re 0.500 0.500 0.500 [1 per cell]

Computed properties:
As for the crystal system: tetragonal. As for the uncorrected energy: -0.39836 Ry per atom. The size of the total moment comes out at 0.0 μB/f.u. The calculated volume is 93.22 Å³/cell.

=====

(10)
A relaxed NaBe2SiRh crystal, computed with GGA-PBEsol.

Lattice parameters (Å, degrees): 4.081 4.081 4.522 90.00 90.00 90.00
Space group P4/mmm (No. 123)
One atom of each set of equivalent atoms:
1 Na 0.000 0.000 0.000 [1 per cell]
2 Be 0.000 0.500 0.000 [2 per cell]
3 Si 0.500 0.500 0.500 [1 per cell]
4 Rh 0.000 0.000 0.500 [1 per cell]

Computed properties:
As for the crystal system: tetragonal. As for the uncorrected energy: -0.21446 Ry per atom. The size of the total moment comes out at 0.0 μB/f.u. The calculated volume is 75.30 Å³/cell.

=====

(11)
A relaxed NaTaBeRh2 crystal, computed with GGA-PBEsol.

Lattice parameters (Å, degrees): 4.409 4.409 3.858 90.00 90.00 90.00
Space group P4/mmm (No. 123)
One atom of each set of equivalent atoms:
1 Na 0.000 0.000 0.000 [1 per cell]
2 Ta 0.500 0.500 0.500 [1 per cell]
3 Be 0.000 0.000 0.500 [1 per cell]
4 Rh 0.000 0.500 0.000 [2 per cell]

Computed properties:
As for the crystal system: tetragonal. As for the uncorrected energy: -0.39511 Ry per atom. The size of the total moment comes out at 0.0 μB/f.u. The calculated volume is 74.98 Å³/cell.

=====

(12)
A relaxed Na2SrBeRu crystal, computed with GGA-PBEsol.

Lattice parameters (Å, degrees): 5.303 5.303 4.345 90.00 90.00 90.00
Space group P4/mmm (No. 123)
One atom of each set of equivalent atoms:
1 Na 0.000 0.500 0.000 [2 per cell]
2 Sr 0.000 0.000 0.500 [1 per cell]
3 Be 0.500 0.500 0.500 [1 per cell]
4 Ru 0.500 0.500 0.000 [1 per cell]

Computed properties:
As for the crystal system: tetragonal. As for the uncorrected energy: -0.22285 Ry per atom. The size of the total moment comes out at 0.0 μB/f.u. The calculated volume is 122.18 Å³/cell.

=====

(13)
A relaxed NaBeS2 crystal, computed with GGA-PBEsol.

Lattice parameters (Å, degrees): 3.8256 3.8256 21.6119 90.00 90.00 120.00
Space group R-3m (No. 166, hexagonal axes)
One atom of each set of equivalent atoms:
1 Na 0.0000 0.0000 0.0000 [3 per cell]
2 Be 0.0000 0.0000 0.5000 [3 per cell]
3 S 0.0000 0.0000 0.4136 [6 per cell]

Computed properties:
As for the crystal system: trigonal. As for the uncorrected energy: -0.28507 Ry per atom. The size of the total moment comes out at 0.0 μB/f.u. The calculated volume is 273.91 Å³/cell.

=====

(14)
A relaxed Na2BeS crystal, computed with GGA-PBEsol.

Lattice parameters (Å, degrees): 3.876 3.876 19.759 90.00 90.00 90.00
Space group I-42d (No. 122)
One atom of each set of equivalent atoms:
1 Na 0.232 0.250 0.125 [8 per cell]
2 Be 0.000 0.000 0.500 [4 per cell]
3 S 0.000 0.000 0.000 [4 per cell]

Computed properties:
As for the crystal system: tetragonal. As for the uncorrected energy: -0.18346 Ry per atom. The size of the total moment comes out at 0.0 μB/f.u. The calculated volume is 296.83 Å³/cell.

=====

(15)
A relaxed Na2BeSb crystal, computed with GGA-PBEsol.

Lattice parameters (Å, degrees): 7.040 7.040 7.040 90.00 90.00 90.00
Space group Fm-3m (No. 225)
One atom of each set of equivalent atoms:
1 Na 0.250 0.250 0.250 [8 per cell]
2 Be 0.000 0.000 0.000 [4 per cell]
3 Sb 0.000 0.000 0.500 [4 per cell]

Computed properties:
As for the crystal system: cubic. As for the uncorrected energy: -0.18547 Ry per atom. The size of the total moment comes out at 0.0 μB/f.u. The calculated volume is 348.89 Å³/cell.

=====

(16)
A relaxed NaBeSb2Te crystal, computed with GGA-PBEsol.

Lattice parameters (Å, degrees): 4.866 4.866 5.435 90.00 90.00 90.00
Space group P4/mmm (No. 123)
One atom of each set of equivalent atoms:
1 Na 0.000 0.000 0.000 [1 per cell]
2 Be 0.500 0.500 0.500 [1 per cell]
3 Sb 0.000 0.500 0.500 [2 per cell]
4 Te 0.500 0.500 0.000 [1 per cell]

Computed properties:
As for the crystal system: tetragonal. As for the uncorrected energy: -0.25206 Ry per atom. The size of the total moment comes out at 0.0 μB/f.u. The calculated volume is 128.71 Å³/cell.

=====

(17)
A relaxed NaBe3Sn crystal, computed with GGA-PBEsol.

Lattice parameters (Å, degrees): 4.486 4.486 4.486 90.00 90.00 90.00
Space group Pm-3m (No. 221)
One atom of each set of equivalent atoms:
1 Na 0.000 0.000 0.000 [1 per cell]
2 Be 0.000 0.000 0.500 [3 per cell]
3 Sn 0.500 0.500 0.500 [1 per cell]

Computed properties:
As for the crystal system: cubic. The energy above the most stable polymorph in this dataset comes out at 536 meV/atom. As for the uncorrected energy: -0.14054 Ry per atom. The size of the total moment comes out at 0.0 μB/f.u. The calculated volume is 90.28 Å³/cell.

=====

(18)
A relaxed NaBe3Sn crystal, computed with GGA-PBEsol.

Lattice parameters (Å, degrees): 4.689 4.689 4.689 90.00 90.00 90.00
Space group Pm-3m (No. 221)
One atom of each set of equivalent atoms:
1 Na 0.000 0.000 0.000 [1 per cell]
2 Be 0.000 0.500 0.500 [3 per cell]
3 Sn 0.500 0.500 0.500 [1 per cell]

Computed properties:
As for the crystal system: cubic. The energy above the most stable polymorph in this dataset comes out at 0 meV/atom. As for the uncorrected energy: -0.17996 Ry per atom. The size of the total moment comes out at 0.0 μB/f.u. The calculated volume is 103.12 Å³/cell.

=====

(19)
A relaxed Na3BeSn crystal, computed with GGA-PBEsol.

Lattice parameters (Å, degrees): 5.841 5.841 5.841 90.00 90.00 90.00
Space group Pm-3m (No. 221)
One atom of each set of equivalent atoms:
1 Na 0.000 0.000 0.500 [3 per cell]
2 Be 0.500 0.500 0.500 [1 per cell]
3 Sn 0.000 0.000 0.000 [1 per cell]

Computed properties:
As for the crystal system: cubic. As for the uncorrected energy: -0.12669 Ry per atom. The size of the total moment comes out at 0.9 μB/f.u. The calculated volume is 199.25 Å³/cell.

=====

(20)
A relaxed NaBeTcSn2 crystal, computed with GGA-PBEsol.

Lattice parameters (Å, degrees): 5.052 5.052 5.400 90.00 90.00 90.00
Space group P4/mmm (No. 123)
One atom of each set of equivalent atoms:
1 Na 0.000 0.000 0.000 [1 per cell]
2 Be 0.500 0.500 0.000 [1 per cell]
3 Tc 0.000 0.000 0.500 [1 per cell]
4 Sn 0.000 0.500 0.500 [2 per cell]

Computed properties:
As for the crystal system: tetragonal. As for the uncorrected energy: -0.29580 Ry per atom. The size of the total moment comes out at 0.4 μB/f.u. The calculated volume is 137.84 Å³/cell.